Computed, not measured: a relaxed structure of Ac2HoGe3Pt4 at the PBE-GGA level of DFT.

Computed properties:
formation enthalpy at 0 K	-0.987	eV per atom
spin magnetization	0.000	μB per formula unit
DOS(E_F)	5.640	states/eV/f.u.
symmetry	No. 115

Unit cell a=4.452 b=4.452 c=11.098 alpha=90.00 beta=90.00 gamma=90.00
Fractional positions:
Ac 0.500 0.000 0.230
Ac 0.000 0.500 0.770
Ho 0.500 0.500 0.500
Ge 0.000 0.000 0.500
Ge 0.500 0.000 0.882
Ge 0.000 0.500 0.118
Pt 0.500 0.500 0.000
Pt 0.000 0.000 0.000
Pt 0.500 0.000 0.653
Pt 0.000 0.500 0.347



Computed, not measured: a relaxed structure of AcHoGe2Pt5 at the PBE-GGA level of DFT.

Computed properties:
formation enthalpy at 0 K	-0.827	eV per atom
spin magnetization	0.000	μB per formula unit
DOS(E_F)	2.751	states/eV/f.u.
symmetry	No. 123

Unit cell a=4.439 b=4.439 c=8.951 alpha=90.00 beta=90.00 gamma=90.00
Fractional positions:
Ac 0.000 0.000 0.500
Ho 0.000 0.000 0.000
Ge 0.500 0.500 0.136
Ge 0.500 0.500 0.864
Pt 0.000 0.500 0.257
Pt 0.500 0.000 0.257
Pt 0.000 0.500 0.743
Pt 0.500 0.000 0.743
Pt 0.500 0.500 0.500



Computed, not measured: a relaxed structure of AcHoGePt at the PBE-GGA level of DFT.

Computed properties:
formation enthalpy at 0 K	-0.798	eV per atom
spin magnetization	0.000	μB per formula unit
ΔE to the lowest computed polymorph	21.8	meV per atom
DOS(E_F)	1.044	states/eV/f.u.
symmetry	No. 216

Unit cell a=5.234 b=5.234 c=5.234 alpha=60.00 beta=60.00 gamma=60.00
Fractional positions:
Ac 0.000 0.000 0.000
Ge 0.750 0.750 0.750
Ho 0.500 0.500 0.500
Pt 0.250 0.250 0.250



Computed, not measured: a relaxed structure of AcHoGePt at the PBE-GGA level of DFT.

Computed properties:
formation enthalpy at 0 K	-0.820	eV per atom
spin magnetization	0.000	μB per formula unit
ΔE to the lowest computed polymorph	0.0	meV per atom
DOS(E_F)	2.546	states/eV/f.u.
symmetry	No. 129

Unit cell a=4.768 b=4.768 c=10.378 alpha=90.00 beta=90.00 gamma=90.00
Fractional positions:
Ac 0.000 0.500 0.829
Ac 0.500 0.000 0.171
Ho 0.000 0.000 0.500
Ho 0.500 0.500 0.500
Ge 0.500 0.000 0.877
Ge 0.000 0.500 0.123
Pt 0.000 0.500 0.354
Pt 0.500 0.000 0.646



Computed, not measured: a relaxed structure of Ac2HoGe4Pt3 at the PBE-GGA level of DFT.

Computed properties:
formation enthalpy at 0 K	-0.936	eV per atom
spin magnetization	0.000	μB per formula unit
DOS(E_F)	4.383	states/eV/f.u.
symmetry	No. 115

Unit cell a=4.433 b=4.433 c=11.299 alpha=90.00 beta=90.00 gamma=90.00
Fractional positions:
Ac 0.500 0.000 0.232
Ac 0.000 0.500 0.768
Ho 0.500 0.500 0.500
Ge 0.500 0.500 0.000
Ge 0.000 0.000 0.000
Ge 0.500 0.000 0.658
Ge 0.000 0.500 0.342
Pt 0.000 0.000 0.500
Pt 0.500 0.000 0.885
Pt 0.000 0.500 0.115



Computed, not measured: a relaxed structure of AcHoGeRu at the PBE-GGA level of DFT.

Computed properties:
formation enthalpy at 0 K	-0.251	eV per atom
spin magnetization	0.000	μB per formula unit
DOS(E_F)	2.374	states/eV/f.u.
symmetry	No. 216

Unit cell a=5.164 b=5.164 c=5.164 alpha=60.00 beta=60.00 gamma=60.00
Fractional positions:
Ru 0.750 0.750 0.750
Ac 0.500 0.500 0.500
Ge 0.250 0.250 0.250
Ho 0.000 0.000 0.000



Computed, not measured: a relaxed structure of AcHoSnGe at the PBE-GGA level of DFT.

Computed properties:
formation enthalpy at 0 K	-0.485	eV per atom
spin magnetization	0.000	μB per formula unit
DOS(E_F)	5.080	states/eV/f.u.
symmetry	No. 216

Unit cell a=5.453 b=5.453 c=5.453 alpha=60.00 beta=60.00 gamma=60.00
Fractional positions:
Ac 0.750 0.750 0.750
Ge 0.500 0.500 0.500
Ho 0.250 0.250 0.250
Sn 0.000 0.000 0.000



Computed, not measured: a relaxed structure of AcHoZnGe at the PBE-GGA level of DFT.

Computed properties:
formation enthalpy at 0 K	-0.420	eV per atom
spin magnetization	0.000	μB per formula unit
DOS(E_F)	3.149	states/eV/f.u.
symmetry	No. 216

Unit cell a=5.272 b=5.272 c=5.272 alpha=60.00 beta=60.00 gamma=60.00
Fractional positions:
Zn 0.750 0.750 0.750
Ac 0.000 0.000 0.000
Ge 0.250 0.250 0.250
Ho 0.500 0.500 0.500



Computed, not measured: a relaxed structure of AcHoZn2Ge2 at the PBE-GGA level of DFT.

Computed properties:
formation enthalpy at 0 K	-0.616	eV per atom
spin magnetization	0.000	μB per formula unit
DOS(E_F)	3.722	states/eV/f.u.
symmetry	No. 164

Unit cell a=4.263 b=4.263 c=8.640 alpha=90.00 beta=90.00 gamma=120.00
Fractional positions:
Ac 0.000 0.000 0.000
Ho 0.000 0.000 0.500
Zn 0.667 0.333 0.269
Zn 0.333 0.667 0.731
Ge 0.667 0.333 0.722
Ge 0.333 0.667 0.278



Computed, not measured: a relaxed structure of Ac7GeI12 at the PBE-GGA level of DFT.

Computed properties:
spin magnetization	0.001	μB per formula unit
raw formation energy	-1.349	eV/atom
DOS(E_F)	12.571	states/eV/f.u.
symmetry	No. 148

Unit cell a=10.474 b=10.474 c=10.474 alpha=108.06 beta=108.06 gamma=108.06
Fractional positions:
Ac 0.960 0.676 0.888
Ac 0.324 0.112 0.040
Ac 0.112 0.040 0.324
Ac 0.500 0.500 0.500
Ac 0.888 0.960 0.676
Ac 0.676 0.888 0.960
Ac 0.040 0.324 0.112
Ge 0.000 0.000 0.000
I 0.921 0.310 0.769
I 0.690 0.231 0.079
I 0.478 0.155 0.395
I 0.845 0.605 0.522
I 0.231 0.079 0.690
I 0.605 0.522 0.845
I 0.395 0.478 0.155
I 0.769 0.921 0.310
I 0.155 0.395 0.478
I 0.522 0.845 0.605
I 0.310 0.769 0.921
I 0.079 0.690 0.231



Computed, not measured: a relaxed structure of Ac8Ge5I at the PBE-GGA level of DFT.

Computed properties:
spin magnetization	0.000	μB per formula unit
raw formation energy	-0.710	eV/atom
DOS(E_F)	13.666	states/eV/f.u.
symmetry	No. 82

Unit cell a=8.500 b=8.500 c=8.500 alpha=109.20 beta=110.02 gamma=109.20
Fractional positions:
Ac 0.112 0.755 0.018
Ac 0.982 0.094 0.738
Ac 0.742 0.244 0.368
Ac 0.632 0.374 0.876
Ac 0.501 0.626 0.258
Ac 0.644 0.906 0.888
Ac 0.262 0.245 0.356
Ac 0.124 0.756 0.499
Ge 0.008 0.379 0.123
Ge 0.877 0.886 0.257
Ge 0.743 0.621 0.629
Ge 0.500 0.000 0.500
Ge 0.371 0.114 0.992
I 0.250 0.500 0.750



Computed, not measured: a relaxed structure of Ac2GeI2 at the PBE-GGA level of DFT.

Computed properties:
spin magnetization	0.000	μB per formula unit
ΔE to the lowest computed polymorph	0.0	meV per atom
raw formation energy	-1.246	eV/atom
symmetry	No. 166

Unit cell a=4.678 b=4.678 c=12.145 alpha=78.90 beta=78.90 gamma=60.00
Fractional positions:
Ac 0.618 0.618 0.147
Ac 0.382 0.382 0.853
Ge 0.000 0.000 0.000
I 0.225 0.225 0.325
I 0.775 0.775 0.675



Computed, not measured: a relaxed structure of Ac4Ge2I3 at the PBE-GGA level of DFT.

Computed properties:
spin magnetization	0.000	μB per formula unit
raw formation energy	-1.143	eV/atom
DOS(E_F)	3.616	states/eV/f.u.
symmetry	No. 12

Unit cell a=4.660 b=4.660 c=19.806 alpha=90.05 beta=89.95 gamma=120.00
Fractional positions:
Ac 0.334 0.666 0.880
Ac 0.999 0.001 0.290
Ac 0.001 0.999 0.710
Ac 0.666 0.334 0.120
Ge 0.667 0.333 0.798
Ge 0.333 0.667 0.202
I 0.666 0.334 0.397
I 0.000 0.000 0.000
I 0.334 0.666 0.603



Computed, not measured: a relaxed structure of Ac3Ge2I3 at the PBE-GGA level of DFT.

Computed properties:
spin magnetization	0.000	μB per formula unit
raw formation energy	-1.031	eV/atom
symmetry	No. 193

Unit cell a=6.517 b=9.752 c=9.752 alpha=120.00 beta=90.00 gamma=90.00
Fractional positions:
Ac 0.750 0.606 0.000
Ac 0.750 0.394 0.394
Ac 0.750 0.000 0.606
Ac 0.250 0.394 0.000
Ac 0.250 0.606 0.606
Ac 0.250 0.000 0.394
Ge 0.000 0.333 0.667
Ge 0.500 0.667 0.333
Ge 0.000 0.667 0.333
Ge 0.500 0.333 0.667
I 0.750 0.246 0.000
I 0.750 0.754 0.754
I 0.750 0.000 0.246
I 0.250 0.754 0.000
I 0.250 0.246 0.246
I 0.250 0.000 0.754



Computed, not measured: a relaxed structure of Ac3Ge2I2 at the PBE-GGA level of DFT.

Computed properties:
spin magnetization	0.000	μB per formula unit
raw formation energy	-0.880	eV/atom
DOS(E_F)	6.216	states/eV/f.u.
symmetry	No. 2

Unit cell a=4.546 b=7.905 c=8.745 alpha=100.59 beta=89.82 gamma=106.15
Fractional positions:
Ac 0.000 0.000 0.000
Ac 0.772 0.538 0.226
Ac 0.228 0.462 0.774
Ge 0.627 0.258 0.916
Ge 0.373 0.742 0.084
I 0.866 0.740 0.625
I 0.134 0.260 0.375



Computed, not measured: a relaxed structure of Ac3Ge2I at the PBE-GGA level of DFT.

Computed properties:
spin magnetization	0.000	μB per formula unit
ΔE to the lowest computed polymorph	0.0	meV per atom
raw formation energy	-0.714	eV/atom
DOS(E_F)	4.542	states/eV/f.u.
symmetry	No. 123

Unit cell a=3.894 b=3.894 c=12.727 alpha=90.00 beta=90.00 gamma=90.00
Fractional positions:
Ac 0.000 0.000 0.000
Ac 0.000 0.000 0.698
Ac 0.000 0.000 0.302
Ge 0.500 0.500 0.837
Ge 0.500 0.500 0.163
I 0.500 0.500 0.500



Computed, not measured: a relaxed structure of Ac5Ge4I at the PBE-GGA level of DFT.

Computed properties:
spin magnetization	0.000	μB per formula unit
raw formation energy	-0.640	eV/atom
DOS(E_F)	6.778	states/eV/f.u.
symmetry	No. 123

Unit cell a=3.824 b=3.824 c=21.276 alpha=90.00 beta=90.00 gamma=90.00
Fractional positions:
Ac 0.500 0.500 0.120
Ac 0.500 0.500 0.305
Ac 0.500 0.500 0.500
Ac 0.500 0.500 0.695
Ac 0.500 0.500 0.880
Ge 0.000 0.000 0.205
Ge 0.000 0.000 0.402
Ge 0.000 0.000 0.598
Ge 0.000 0.000 0.795
I 0.000 0.000 0.000



Computed, not measured: a relaxed structure of Ac2GeI3 at the PBE-GGA level of DFT.

Computed properties:
spin magnetization	0.000	μB per formula unit
raw formation energy	-1.205	eV/atom
symmetry	No. 12

Unit cell a=5.115 b=10.423 c=11.261 alpha=72.92 beta=76.87 gamma=75.80
Fractional positions:
Ac 0.867 0.485 0.781
Ac 0.133 0.515 0.219
Ac 0.608 0.217 0.567
Ac 0.392 0.783 0.433
Ge 0.441 0.499 0.619
Ge 0.559 0.501 0.381
I 0.041 0.142 0.775
I 0.959 0.858 0.225
I 0.665 0.667 0.003
I 0.335 0.333 0.997
I 0.766 0.846 0.622
I 0.234 0.154 0.378



Computed, not measured: a relaxed structure of AcGeI at the PBE-GGA level of DFT.

Computed properties:
spin magnetization	0.000	μB per formula unit
ΔE to the lowest computed polymorph	204.0	meV per atom
raw formation energy	-0.885	eV/atom
DOS(E_F)	1.449	states/eV/f.u.
symmetry	No. 12

Unit cell a=4.945 b=4.891 c=12.562 alpha=84.87 beta=78.65 gamma=59.63
Fractional positions:
Ac 0.827 0.024 0.322
Ac 0.173 0.976 0.678
Ge 0.577 0.285 0.561
Ge 0.423 0.715 0.439
I 0.255 0.331 0.159
I 0.745 0.669 0.841



Computed, not measured: a relaxed structure of Ac4Ge2I at the PBE-GGA level of DFT.

Computed properties:
spin magnetization	1.798	μB per formula unit
raw formation energy	-0.728	eV/atom
DOS(E_F)	5.848	states/eV/f.u.
symmetry	No. 166

Unit cell a=4.583 b=4.583 c=15.462 alpha=81.48 beta=81.48 gamma=60.00
Fractional positions:
I 0.000 0.000 0.000
Ac 0.128 0.128 0.616
Ac 0.280 0.280 0.161
Ac 0.720 0.720 0.839
Ac 0.872 0.872 0.384
Ge 0.423 0.423 0.732
Ge 0.577 0.577 0.268